Compound: NaCaTl2
Source: Alexandria via LeMat-Bulk
Functional: GGA-PBE
Structure: relaxed

Unit cell a=5.4312 b=5.4312 c=3.8930 alpha=90.00 beta=90.00 gamma=90.00
Closest atoms and distances in Å follow each position.
Positions (direct):
Na 0.0000 0.0000 0.0000  8 Tl 3.34
Ca 0.5000 0.5000 0.0000  8 Tl 3.34
Tl 0.0000 0.5000 0.5000  4 Ca 3.34, 4 Na 3.34
Tl 0.5000 0.0000 0.5000  4 Ca 3.34, 4 Na 3.34

## Properties
Its energy is -2.287 eV/atom. For the formation enthalpy at 0 K, the calculation gives -105 kJ/mol of formula units. As for the crystal system: tetragonal.


Compound: NaCaTl
Source: Alexandria via LeMat-Bulk
Functional: GGA-PBE
Structure: relaxed

Unit cell a=5.6891 b=5.6891 c=6.6161 alpha=90.00 beta=90.00 gamma=120.00
Closest atoms and distances in Å follow each position.
Positions (direct):
Na 0.0000 0.0000 0.0000  2 Na 3.31, 6 Tl 3.68, 6 Ca 3.68
Na 0.0000 0.0000 0.5000  2 Na 3.31, 6 Tl 3.68, 6 Ca 3.68
Ca 0.3333 0.6667 0.2500  5 Tl 3.28-3.31, 6 Na 3.68
Ca 0.6667 0.3333 0.7500  5 Tl 3.28-3.31, 6 Na 3.68
Tl 0.3333 0.6667 0.7500  5 Ca 3.28-3.31, 6 Na 3.68
Tl 0.6667 0.3333 0.2500  5 Ca 3.28-3.31, 6 Na 3.68

## Properties
Its energy is -2.109 eV/atom. For the formation enthalpy at 0 K, the calculation gives -62 kJ/mol of formula units. As for the crystal system: hexagonal. The energy relative to the lowest polymorph listed for this composition comes out at 0 meV/atom.


Compound: Na4CaTl15
Source: Alexandria via LeMat-Bulk
Functional: GGA-PBE
Structure: relaxed

Unit cell a=4.8403 b=4.8403 c=24.8035 alpha=90.00 beta=90.00 gamma=90.00
Closest atoms and distances in Å follow each position.
Positions (direct):
Na 0.0000 0.0000 0.0998  12 Tl 3.42-3.47
Na 0.0000 0.0000 0.3020  12 Tl 3.42-3.50
Na 0.0000 0.0000 0.6980  12 Tl 3.42-3.50
Na 0.0000 0.0000 0.9002  12 Tl 3.42-3.47
Ca 0.0000 0.0000 0.5000  12 Tl 3.42-3.47
Tl 0.0000 0.5000 0.0000  8 Tl 3.42-3.46, 4 Na 3.46
Tl 0.0000 0.5000 0.2002  8 Tl 3.42-3.50, 4 Na 3.47-3.50
Tl 0.0000 0.5000 0.4000  8 Tl 3.42-3.47, 2 Na 3.43, 2 Ca 3.47
Tl 0.0000 0.5000 0.6000  8 Tl 3.42-3.47, 2 Na 3.43, 2 Ca 3.47
Tl 0.0000 0.5000 0.7998  8 Tl 3.42-3.50, 4 Na 3.47-3.50
Tl 0.5000 0.0000 0.0000  8 Tl 3.42-3.46, 4 Na 3.46
Tl 0.5000 0.0000 0.2002  8 Tl 3.42-3.50, 4 Na 3.47-3.50
Tl 0.5000 0.0000 0.4000  8 Tl 3.42-3.47, 2 Na 3.43, 2 Ca 3.47
Tl 0.5000 0.0000 0.6000  8 Tl 3.42-3.47, 2 Na 3.43, 2 Ca 3.47
Tl 0.5000 0.0000 0.7998  8 Tl 3.42-3.50, 4 Na 3.47-3.50
Tl 0.5000 0.5000 0.0996  4 Na 3.42, 8 Tl 3.46-3.48
Tl 0.5000 0.5000 0.3019  4 Na 3.42, 8 Tl 3.43-3.50
Tl 0.5000 0.5000 0.5000  4 Ca 3.42, 8 Tl 3.47
Tl 0.5000 0.5000 0.6981  4 Na 3.42, 8 Tl 3.43-3.50
Tl 0.5000 0.5000 0.9004  4 Na 3.42, 8 Tl 3.46-3.48

## Properties
Its energy is -2.236 eV/atom. For the formation enthalpy at 0 K, the calculation gives -189 kJ/mol of formula units. As for the crystal system: tetragonal.


Compound: NaCa5Tl3
Source: Alexandria via LeMat-Bulk
Functional: GGA-PBE
Structure: relaxed

Unit cell a=9.7237 b=9.7237 c=6.9432 alpha=90.00 beta=90.00 gamma=120.00
Closest atoms and distances in Å follow each position.
Positions (direct):
Na 0.0000 0.0000 0.0000  2 Na 3.47, 6 Ca 3.51
Na 0.0000 0.0000 0.5000  2 Na 3.47, 6 Ca 3.51
Ca 0.0000 0.3137 0.2500  5 Tl 3.19-3.50, 2 Na 3.51
Ca 0.0000 0.6863 0.7500  5 Tl 3.19-3.50, 2 Na 3.51
Ca 0.3137 0.0000 0.2500  5 Tl 3.19-3.50, 2 Na 3.51
Ca 0.3137 0.3137 0.7500  5 Tl 3.19-3.50, 2 Na 3.51
Ca 0.3333 0.6667 0.0000  8 Ca 3.47-3.76, 6 Tl 3.58
Ca 0.3333 0.6667 0.5000  8 Ca 3.47-3.76, 6 Tl 3.58
Ca 0.6667 0.3333 0.0000  8 Ca 3.47-3.76, 6 Tl 3.58
Ca 0.6667 0.3333 0.5000  8 Ca 3.47-3.76, 6 Tl 3.58
Ca 0.6863 0.0000 0.7500  5 Tl 3.19-3.50, 2 Na 3.51
Ca 0.6863 0.6863 0.2500  5 Tl 3.19-3.50, 2 Na 3.51
Tl 0.0000 0.3583 0.7500  5 Ca 3.19-3.50
Tl 0.0000 0.6417 0.2500  5 Ca 3.19-3.50
Tl 0.3583 0.0000 0.7500  5 Ca 3.19-3.50
Tl 0.3583 0.3583 0.2500  5 Ca 3.19-3.50
Tl 0.6417 0.0000 0.2500  5 Ca 3.19-3.50
Tl 0.6417 0.6417 0.7500  5 Ca 3.19-3.50

## Properties
Its energy is -2.350 eV/atom. For the formation enthalpy at 0 K, the calculation gives -263 kJ/mol of formula units. As for the crystal system: hexagonal.


Compound: NaCaTl2
Source: Alexandria via LeMat-Bulk
Functional: GGA-PBE
Structure: relaxed

Unit cell a=10.4296 b=10.4296 c=10.4296 alpha=20.71 beta=20.71 gamma=20.71
Closest atoms and distances in Å follow each position.
Positions (direct):
Na 0.0000 0.0000 0.0000  6 Tl 3.33-3.34
Ca 0.8331 0.8331 0.8331  6 Tl 3.35, 6 Ca 3.75
Tl 0.2502 0.2502 0.2502  3 Na 3.34, 3 Ca 3.35
Tl 0.4162 0.4162 0.4162  3 Na 3.33, 3 Ca 3.35

## Properties
Its energy is -2.160 eV/atom. For the formation enthalpy at 0 K, the calculation gives -57 kJ/mol of formula units. As for the crystal system: trigonal.


Compound: Na6CaTl10
Source: Alexandria via LeMat-Bulk
Functional: GGA-PBE
Structure: relaxed

Unit cell a=9.2489 b=9.2489 c=6.7690 alpha=90.00 beta=90.00 gamma=120.00
Closest atoms and distances in Å follow each position.
Positions (direct):
Na 0.0000 0.3796 0.2039  8 Tl 3.21-3.52, 1 Na 3.55
Na 0.0000 0.6204 0.7961  8 Tl 3.21-3.52, 1 Na 3.55
Na 0.3796 0.0000 0.2039  8 Tl 3.21-3.52, 1 Na 3.55
Na 0.3796 0.3796 0.7961  8 Tl 3.21-3.52, 1 Na 3.55
Na 0.6204 0.0000 0.7961  8 Tl 3.21-3.52, 1 Na 3.55
Na 0.6204 0.6204 0.2039  8 Tl 3.21-3.52, 1 Na 3.55
Ca 0.0000 0.0000 0.0000  6 Tl 3.37, 6 Na 3.77
Tl 0.0000 0.2739 0.6709  4 Na 3.25-3.31, 1 Ca 3.37, 4 Tl 3.43-3.58
Tl 0.0000 0.7261 0.3291  4 Na 3.25-3.31, 1 Ca 3.37, 4 Tl 3.43-3.58
Tl 0.2739 0.0000 0.6709  4 Na 3.25-3.31, 1 Ca 3.37, 4 Tl 3.43-3.58
Tl 0.2739 0.2739 0.3291  4 Na 3.25-3.31, 1 Ca 3.37, 4 Tl 3.43-3.58
Tl 0.3333 0.6667 0.0000  6 Na 3.21, 2 Tl 3.38
Tl 0.3333 0.6667 0.5000  8 Tl 3.38-3.58, 6 Na 3.52
Tl 0.6667 0.3333 0.0000  6 Na 3.21, 2 Tl 3.38
Tl 0.6667 0.3333 0.5000  8 Tl 3.38-3.58, 6 Na 3.52
Tl 0.7261 0.0000 0.3291  4 Na 3.25-3.31, 1 Ca 3.37, 4 Tl 3.43-3.58
Tl 0.7261 0.7261 0.6709  4 Na 3.25-3.31, 1 Ca 3.37, 4 Tl 3.43-3.58

## Properties
Its energy is -2.060 eV/atom. For the formation enthalpy at 0 K, the calculation gives -139 kJ/mol of formula units. As for the crystal system: trigonal.


Total magnetization? In order: 0.00 0.00 0.00 0.00 0.00 0.00 μB per formula unit.